DFT (PBE-GGA) results for a geometry-optimized KBiS2 structure.

Cell: 3.5816 3.5816 30.2348 Å, 90.00 90.00 120.00°
Closest atoms and distances in Å follow each position.
Fractional positions:
1 K 0.0000 0.0000 0.0000  6 S 3.12
2 K 0.3333 0.6667 0.6667  6 S 3.12
3 K 0.6667 0.3333 0.3333  6 S 3.12
4 Bi 0.0000 0.0000 0.5000  2 S 2.70
5 Bi 0.3333 0.6667 0.1667  2 S 2.70
6 Bi 0.6667 0.3333 0.8333  2 S 2.70
7 S 0.0000 0.0000 0.4107  1 Bi 2.70
8 S 0.0000 0.0000 0.5893  1 Bi 2.70
9 S 0.3333 0.6667 0.0773  1 Bi 2.70
10 S 0.3333 0.6667 0.2560  1 Bi 2.70
11 S 0.6667 0.3333 0.7440  1 Bi 2.70
12 S 0.6667 0.3333 0.9227  1 Bi 2.70

Calculated values
Magnetic moment = 0.0000 μB/atom
Formation energy from raw total energies = 0.026 eV per atom
Space group = R-3m
E_tot = -3.282 eV/atom
Calculated density = 4.6 g cm⁻³